TaCd2Os: relaxed, GGA-PBE.

Results
Calculated total energy   -23.16 eV for the cell shown
DOS(E_F)   3.0 states/eV per cell
Offset from the most stable computed form   324 meV per atom
Energy relative to the elements   170 kJ/mol of formula units
Symmetry   No. 10

a = 4.896 Å, b = 2.837 Å, c = 5.291 Å
α = 78.98°, β = 90.00°, γ = 90.00°
Last column: magnetic moment on the atom in μB.
Sites, in units of the cell vectors:
Cd  0.000  0.067  0.008  0.00
Cd  0.000  0.433  0.492  0.00
Os  0.500  0.250  0.250  0.41
Ta  0.500  0.750  0.750  0.01

=====

IrRuCl2: relaxed, GGA-PBE.

Results
Formation energy from raw total energies   1.0155 eV per atom
Calculated total energy   -17.77 eV for the cell shown
DOS(E_F)   5.4 states/eV per cell
Offset from the most stable computed form   970 meV per atom
Symmetry   No. 216

a = 4.490 Å, b = 4.490 Å, c = 4.490 Å
α = 60.00°, β = 60.00°, γ = 60.00°
Last column: magnetic moment on the atom in μB.
Sites, in units of the cell vectors:
Ru  0.250  0.250  0.250  0.42
Ir  0.500  0.500  0.500  0.14
Cl  0.000  0.000  0.000  0.01
Cl  0.750  0.750  0.750  0.02

=====

Tm3AgC: relaxed, GGA-PBE.

Results
Calculated total energy   -108.25 eV for the cell shown
DOS(E_F)   19.7 states/eV per cell
Offset from the most stable computed form   0 meV per atom
Energy relative to the elements   -152 kJ/mol of formula units
Symmetry   No. 62

a = 3.559 Å, b = 8.678 Å, c = 14.247 Å
α = 90.00°, β = 90.00°, γ = 90.00°
Sites, in units of the cell vectors:
Tm  0.250  0.320  0.519
Tm  0.750  0.799  0.191
Tm  0.750  0.511  0.899
Tm  0.750  0.011  0.601
Tm  0.750  0.680  0.481
Tm  0.250  0.989  0.399
Tm  0.250  0.820  0.981
Tm  0.750  0.299  0.309
Tm  0.250  0.701  0.691
Tm  0.250  0.201  0.809
Tm  0.750  0.180  0.019
Tm  0.250  0.489  0.101
Ag  0.750  0.911  0.818
Ag  0.250  0.089  0.182
Ag  0.750  0.411  0.682
Ag  0.250  0.589  0.318
C  0.250  0.340  0.953
C  0.250  0.840  0.547
C  0.750  0.160  0.453
C  0.750  0.660  0.047

=====

CePrFeN3: relaxed, GGA-PBE.

Results
Formation energy from raw total energies   -0.9649 eV per atom
Calculated total energy   -99.88 eV for the cell shown
DOS(E_F)   4.9 states/eV per cell
Symmetry   No. 11

a = 3.490 Å, b = 7.300 Å, c = 7.484 Å
α = 96.53°, β = 90.00°, γ = 90.00°
Sites, in units of the cell vectors:
Ce  0.250  0.640  0.177
Ce  0.750  0.360  0.823
Pr  0.750  0.844  0.823
Pr  0.250  0.156  0.177
Fe  0.250  0.070  0.596
Fe  0.750  0.930  0.404
N  0.250  0.844  0.462
N  0.750  0.874  0.150
N  0.750  0.405  0.136
N  0.750  0.156  0.538
N  0.250  0.595  0.864
N  0.250  0.126  0.850

=====

ThAg2I8: relaxed, GGA-PBE.

Results
Formation energy from raw total energies   -0.6316 eV per atom
Calculated total energy   -32.47 eV for the cell shown
Symmetry   No. 12

a = 7.331 Å, b = 8.963 Å, c = 8.963 Å
α = 91.05°, β = 76.61°, γ = 76.61°
Sites, in units of the cell vectors:
Th  0.000  0.000  0.000
Ag  0.323  0.172  0.172
Ag  0.677  0.828  0.828
I  0.807  0.087  0.732
I  0.193  0.268  0.913
I  0.663  0.232  0.232
I  0.337  0.768  0.768
I  0.807  0.732  0.087
I  0.193  0.913  0.268
I  0.188  0.425  0.425
I  0.812  0.575  0.575

=====

NaUSe: relaxed, GGA-PBE.

Results
Formation energy from raw total energies   -0.7081 eV per atom
Calculated total energy   -36.43 eV for the cell shown
DOS(E_F)   6.1 states/eV per cell
Symmetry   No. 8

a = 3.673 Å, b = 3.673 Å, c = 13.566 Å
α = 101.41°, β = 105.70°, γ = 60.01°
Sites, in units of the cell vectors:
U  0.614  0.278  0.284
U  0.000  0.237  0.149
Se  0.399  0.009  0.434
Se  0.530  0.876  0.999
Na  0.864  0.391  0.590
Na  0.731  0.162  0.843

=====

Pu2AgHg5: relaxed, GGA-PBE.

Results
Calculated total energy   -66.27 eV for the cell shown
DOS(E_F)   49.9 states/eV per cell
Offset from the most stable computed form   17 meV per atom
Energy relative to the elements   -11 kJ/mol of formula units
Symmetry   No. 38

a = 4.628 Å, b = 8.772 Å, c = 10.369 Å
α = 90.00°, β = 90.00°, γ = 105.30°
Last column: magnetic moment on the atom in μB.
Sites, in units of the cell vectors:
Pu  0.996  0.991  0.750  5.62
Pu  0.148  0.296  0.250  5.56
Pu  0.939  0.878  0.086  5.62
Pu  0.939  0.878  0.414  5.62
Ag  0.638  0.276  0.750  0.00
Ag  0.520  0.040  0.250  0.04
Hg  0.171  0.341  0.921  0.00
Hg  0.745  0.490  0.082  0.01
Hg  0.171  0.341  0.579  0.00
Hg  0.745  0.490  0.418  0.01
Hg  0.367  0.735  0.909  0.01
Hg  0.555  0.110  0.985  0.01
Hg  0.367  0.735  0.591  0.01
Hg  0.555  0.110  0.515  0.01
Hg  0.805  0.609  0.750  0.00
Hg  0.341  0.682  0.250  0.02

=====

LaAl3CuAu: relaxed, GGA-PBE.

Results
Calculated total energy   -50.93 eV for the cell shown
DOS(E_F)   4.7 states/eV per cell
Energy relative to the elements   -187 kJ/mol of formula units
Symmetry   No. 63

a = 6.109 Å, b = 6.312 Å, c = 6.960 Å
α = 116.97°, β = 90.00°, γ = 90.00°
Sites, in units of the cell vectors:
La  0.750  0.281  0.562
La  0.250  0.719  0.438
Al  0.250  0.141  0.281
Al  0.000  0.286  0.000
Al  0.500  0.714  0.000
Al  0.500  0.286  0.000
Al  0.000  0.714  0.000
Al  0.750  0.859  0.719
Cu  0.250  0.941  0.882
Cu  0.750  0.059  0.118
Au  0.250  0.352  0.705
Au  0.750  0.648  0.295

=====

Sm4SiN2: relaxed, GGA-PBE.

Results
Formation energy from raw total energies   -0.7488 eV per atom
Calculated total energy   -46.19 eV for the cell shown
DOS(E_F)   6.6 states/eV per cell
Symmetry   No. 87

a = 6.205 Å, b = 6.205 Å, c = 6.205 Å
α = 103.80°, β = 103.80°, γ = 121.54°
Last column: magnetic moment on the atom in μB.
Sites, in units of the cell vectors:
Sm  0.334  0.144  0.478  0.12
Sm  0.856  0.334  0.190  0.12
Sm  0.144  0.666  0.810  0.12
Sm  0.666  0.856  0.522  0.12
Si  0.500  0.500  0.000  -0.01
N  0.250  0.750  0.500  -0.02
N  0.750  0.250  0.500  -0.02

=====

Tb6Nd12Mg: relaxed, GGA-PBE.

Results
Calculated total energy   -84.14 eV for the cell shown
DOS(E_F)   27.4 states/eV per cell
Offset from the most stable computed form   10 meV per atom
Energy relative to the elements   236 kJ/mol of formula units
Symmetry   No. 148

a = 8.789 Å, b = 8.789 Å, c = 8.789 Å
α = 97.52°, β = 97.52°, γ = 97.52°
Sites, in units of the cell vectors:
Tb  0.136  0.137  0.406
Tb  0.863  0.594  0.864
Tb  0.594  0.864  0.863
Tb  0.864  0.863  0.594
Tb  0.137  0.406  0.136
Tb  0.406  0.136  0.137
Nd  0.582  0.170  0.582
Nd  0.170  0.582  0.582
Nd  0.582  0.582  0.170
Nd  0.418  0.830  0.418
Nd  0.830  0.418  0.418
Nd  0.418  0.418  0.830
Nd  0.261  0.000  0.739
Nd  0.261  0.739  0.000
Nd  0.000  0.261  0.739
Nd  0.739  0.000  0.261
Nd  0.739  0.261  0.000
Nd  0.000  0.739  0.261
Mg  0.000  0.000  0.000

=====

LiMgZn: relaxed, GGA-PBE.

Results
Calculated total energy   -4.54 eV for the cell shown
DOS(E_F)   2.0 states/eV per cell
Offset from the most stable computed form   210 meV per atom
Energy relative to the elements   23 kJ/mol of formula units
Symmetry   No. 216

a = 4.519 Å, b = 4.519 Å, c = 4.519 Å
α = 60.00°, β = 60.00°, γ = 60.00°
Sites, in units of the cell vectors:
Li  0.000  0.000  0.000
Mg  0.500  0.500  0.500
Zn  0.750  0.750  0.750

=====

Sr3Pt8Pb: relaxed, GGA-PBE.

Results
Calculated total energy   -65.77 eV for the cell shown
DOS(E_F)   7.3 states/eV per cell
Energy relative to the elements   -839 kJ/mol of formula units
Symmetry   No. 160

a = 5.560 Å, b = 5.560 Å, c = 9.571 Å
α = 73.12°, β = 73.12°, γ = 60.00°
Sites, in units of the cell vectors:
Sr  0.375  0.375  0.874
Sr  0.998  0.998  0.006
Sr  0.502  0.502  0.495
Pt  0.937  0.437  0.188
Pt  0.439  0.938  0.686
Pt  0.437  0.437  0.188
Pt  0.938  0.938  0.686
Pt  0.188  0.188  0.436
Pt  0.688  0.688  0.937
Pt  0.437  0.937  0.188
Pt  0.938  0.439  0.686
Pb  0.873  0.873  0.380

=====

Q: Among the records above, which one has the highest calculated total energy?
A: LiMgZn

=====

Q: Number 6 is which compound?
A: NaUSe